Record 1
First-principles (GGA-PBE) data for a geometry-optimized Mg5Tl3Pb4 structure, as listed in Alexandria via LeMat-Bulk.

Properties
ΔE_f = 12.5 kJ/mol of formula units

Cell lengths 6.1968, 7.1363, 13.1017 Å; angles 126.81, 122.29, 92.62 degrees
With the nearest neighbours (Å) after each atom.
Fractional positions:
1 Mg 0.3173 0.6546 0.8279  4 Pb 3.07-3.44, 2 Tl 3.20-3.26, 1 Mg 3.35
2 Mg 0.5000 0.0000 0.5000  4 Tl 3.10-3.35, 4 Pb 3.19-3.31
3 Mg 0.6396 0.3012 0.8828  4 Pb 3.12-3.19, 2 Tl 3.17-3.25, 3 Mg 3.34-3.47
4 Mg 0.3604 0.6988 0.1172  4 Pb 3.12-3.19, 2 Tl 3.17-3.25, 3 Mg 3.34-3.47
5 Mg 0.6827 0.3454 0.1721  4 Pb 3.07-3.44, 2 Tl 3.20-3.26, 1 Mg 3.35
6 Tl 0.6844 0.3500 0.4401  4 Mg 3.17-3.49, 3 Tl 3.32-3.54, 3 Pb 3.33-3.46
7 Tl 0.0000 0.0000 0.5000  6 Mg 3.10-3.25, 2 Tl 3.44, 2 Pb 3.45
8 Tl 0.3156 0.6500 0.5599  4 Mg 3.17-3.49, 3 Tl 3.32-3.54, 3 Pb 3.33-3.46
9 Pb 0.0591 0.0490 0.7932  5 Mg 3.15-3.44, 3 Tl 3.39-3.46, 1 Pb 3.51
10 Pb 0.8338 0.6503 0.8388  5 Mg 3.07-3.19, 1 Tl 3.33, 1 Pb 3.39
11 Pb 0.1662 0.3497 0.1612  5 Mg 3.07-3.19, 1 Tl 3.33, 1 Pb 3.39
12 Pb 0.9409 0.9510 0.2068  5 Mg 3.15-3.44, 3 Tl 3.39-3.46, 1 Pb 3.51

---

Record 2
First-principles (GGA-PBE) data for a geometry-optimized CeDy10Y6 structure, as listed in Alexandria via LeMat-Bulk.

Properties
ΔE_f = 255.7 kJ/mol of formula units

Cell lengths 6.8188, 9.6578, 9.6578 Å; angles 120.00, 90.00, 90.00 degrees
With the nearest neighbours (Å) after each atom.
Fractional positions:
1 Ce 0.5000 0.0000 0.0000  6 Dy 3.40
2 Dy 0.8160 0.7275 0.7275  5 Y 3.35-3.65, 1 Ce 3.40, 2 Dy 3.64
3 Dy 0.8160 0.0000 0.2725  5 Y 3.35-3.65, 1 Ce 3.40, 2 Dy 3.64
4 Dy 0.8160 0.2725 0.0000  5 Y 3.35-3.65, 1 Ce 3.40, 2 Dy 3.64
5 Dy 0.1840 0.2725 0.2725  5 Y 3.35-3.65, 1 Ce 3.40, 2 Dy 3.64
6 Dy 0.1840 0.0000 0.7275  5 Y 3.35-3.65, 1 Ce 3.40, 2 Dy 3.64
7 Dy 0.1840 0.7275 0.0000  5 Y 3.35-3.65, 1 Ce 3.40, 2 Dy 3.64
8 Dy 0.5000 0.3333 0.6667  6 Y 3.32, 2 Dy 3.41
9 Dy 0.5000 0.6667 0.3333  6 Y 3.32, 2 Dy 3.41
10 Dy 0.0000 0.6667 0.3333  8 Dy 3.41-3.76, 6 Y 3.66
11 Dy 0.0000 0.3333 0.6667  8 Dy 3.41-3.76, 6 Y 3.66
12 Y 0.6989 0.3771 0.3771  9 Dy 3.32-3.66, 1 Y 3.61
13 Y 0.6989 0.0000 0.6229  9 Dy 3.32-3.66, 1 Y 3.61
14 Y 0.6989 0.6229 0.0000  9 Dy 3.32-3.66, 1 Y 3.61
15 Y 0.3011 0.6229 0.6229  9 Dy 3.32-3.66, 1 Y 3.61
16 Y 0.3011 0.0000 0.3771  9 Dy 3.32-3.66, 1 Y 3.61
17 Y 0.3011 0.3771 0.0000  9 Dy 3.32-3.66, 1 Y 3.61

---

Record 3
First-principles (GGA-PBE) data for a geometry-optimized LiAgAs structure, as listed in Alexandria via LeMat-Bulk.

Properties
ΔE_f = -31.9 kJ/mol of formula units
Energy relative to the lowest polymorph listed for this composition = 171 meV per atom

Cell lengths 3.0032, 3.0032, 6.6914 Å; angles 90.00, 90.00, 120.00 degrees
With the nearest neighbours (Å) after each atom.
Fractional positions:
1 Ag 0.0000 0.0000 0.9932  3 Li 2.84, 3 As 2.95, 6 Ag 3.00
2 As 0.3333 0.6667 0.3490  3 Li 2.70, 3 Ag 2.95, 6 As 3.00
3 Li 0.6667 0.3333 0.6578  3 As 2.70, 3 Ag 2.84, 6 Li 3.00

---

Record 4
First-principles (GGA-PBE) data for a geometry-optimized KSiAgSe3 structure, as listed in Alexandria via LeMat-Bulk.

Properties
Formation energy (no corrections) = -0.513 eV/atom

Cell lengths 7.1572, 7.1572, 8.8520 Å; angles 70.22, 70.22, 64.03 degrees
With the nearest neighbours (Å) after each atom.
Fractional positions:
1 K 0.6964 0.6964 0.7758  5 Se 3.40-3.60
2 K 0.3036 0.3036 0.2242  5 Se 3.40-3.60
3 Si 0.0472 0.0472 0.7378  3 Se 2.17-2.24
4 Si 0.9528 0.9528 0.2622  3 Se 2.17-2.24
5 Ag 0.2663 0.7337 0.5000  2 Se 2.53
6 Ag 0.7337 0.2663 0.5000  2 Se 2.53
7 Se 0.2422 0.2422 0.6336  1 Si 2.17
8 Se 0.1866 0.6907 0.8082  1 Si 2.24
9 Se 0.6907 0.1866 0.8082  1 Si 2.24
10 Se 0.3093 0.8134 0.1918  1 Si 2.24
11 Se 0.8134 0.3093 0.1918  1 Si 2.24
12 Se 0.7578 0.7578 0.3664  1 Si 2.17

---

| no. | E (eV for the cell shown) |
| --- | --- |
| 1 | -29.776 |
| 2 | -88.089 |
| 3 | -9.745 |
| 4 | -45.805 |